Entry 1:
Compound: Pu5SnTe4
Source: Alexandria
Functional: PBE
Structure: optimized geometry

Properties
Space group: I4/m (87)

a b c (Å): 7.6993 7.6993 7.6993
angles (deg): 99.57 99.57 131.87
Closest atoms and distances in Å follow each position.
Sites, in units of the cell vectors:
Pu: 0.0000 0.0000 0.0000  2 Sn 3.14, 4 Te 3.16
Pu: 0.2018 0.6007 0.8025  1 Sn 3.13, 5 Te 3.14-3.15
Pu: 0.3993 0.2018 0.6011  1 Sn 3.13, 5 Te 3.14-3.15
Pu: 0.6007 0.7982 0.3989  1 Sn 3.13, 5 Te 3.14-3.15
Pu: 0.7982 0.3993 0.1975  1 Sn 3.13, 5 Te 3.14-3.15
Sn: 0.5000 0.5000 0.0000  6 Pu 3.13-3.14
Te: 0.0988 0.3017 0.4006  6 Pu 3.14-3.16
Te: 0.3017 0.9012 0.2029  6 Pu 3.14-3.16
Te: 0.6983 0.0988 0.7971  6 Pu 3.14-3.16
Te: 0.9012 0.6983 0.5994  6 Pu 3.14-3.16

=====

Entry 2:
Compound: PuSn6Te8
Source: Alexandria
Functional: PBE
Structure: optimized geometry

Properties
Space group: P-1 (2)

a b c (Å): 4.7441 11.0794 11.0860
angles (deg): 119.96 90.02 90.02
Closest atoms and distances in Å follow each position.
Sites, in units of the cell vectors:
Pu: 0.0000 0.0000 0.0000  6 Te 3.23-3.24
Sn: 0.1900 0.1192 0.4583  4 Te 2.96-3.31
Sn: 0.1915 0.5409 0.6608  4 Te 2.96-3.31
Sn: 0.1929 0.3388 0.8801  4 Te 2.95-3.30
Sn: 0.8071 0.6612 0.1199  4 Te 2.95-3.30
Sn: 0.8085 0.4591 0.3392  4 Te 2.96-3.31
Sn: 0.8100 0.8808 0.5417  4 Te 2.96-3.31
Te: 0.2376 0.6672 0.3334  3 Sn 3.10
Te: 0.2661 0.7154 0.9652  3 Sn 2.96-3.30, 1 Pu 3.24
Te: 0.2666 0.2499 0.2844  3 Sn 2.96-3.31, 1 Pu 3.24
Te: 0.2685 0.0345 0.7509  2 Sn 2.95-3.01, 1 Pu 3.23
Te: 0.7315 0.9655 0.2491  2 Sn 2.95-3.01, 1 Pu 3.23
Te: 0.7334 0.7501 0.7156  3 Sn 2.96-3.31, 1 Pu 3.24
Te: 0.7339 0.2846 0.0348  3 Sn 2.96-3.30, 1 Pu 3.24
Te: 0.7624 0.3328 0.6666  3 Sn 3.10

=====

Entry 3:
Compound: PuSn2Te
Source: Alexandria
Functional: PBE
Structure: optimized geometry

Properties
Space group: P4/mmm (123)

a b c (Å): 4.4997 4.4997 5.2393
angles (deg): 90.00 90.00 90.00
Closest atoms and distances in Å follow each position.
Sites, in units of the cell vectors:
Pu: 0.0000 0.0000 0.0000  4 Te 3.18, 8 Sn 3.45
Sn: 0.0000 0.5000 0.5000  4 Sn 3.18, 4 Te 3.45, 4 Pu 3.45
Sn: 0.5000 0.0000 0.5000  4 Sn 3.18, 4 Te 3.45, 4 Pu 3.45
Te: 0.5000 0.5000 0.0000  4 Pu 3.18, 8 Sn 3.45

=====

Entry 4:
Compound: Pu3Sn5Te12
Source: Alexandria
Functional: PBE
Structure: optimized geometry

Properties
Space group: Ia-3d (230)

a b c (Å): 15.6062 15.6062 15.6062
angles (deg): 109.47 109.47 109.47
Closest atoms and distances in Å follow each position.
Sites, in units of the cell vectors:
Pu: 0.1250 0.2500 0.3750  8 Te 3.32-3.33
Pu: 0.1250 0.3750 0.7500  8 Te 3.32-3.33
Pu: 0.2500 0.3750 0.1250  8 Te 3.32-3.33
Pu: 0.2500 0.8750 0.6250  8 Te 3.32-3.33
Pu: 0.3750 0.1250 0.2500  8 Te 3.32-3.33
Pu: 0.3750 0.7500 0.1250  8 Te 3.32-3.33
Pu: 0.6250 0.2500 0.8750  8 Te 3.32-3.33
Pu: 0.6250 0.8750 0.7500  8 Te 3.32-3.33
Pu: 0.7500 0.1250 0.3750  8 Te 3.32-3.33
Pu: 0.7500 0.6250 0.8750  8 Te 3.32-3.33
Pu: 0.8750 0.6250 0.2500  8 Te 3.32-3.33
Pu: 0.8750 0.7500 0.6250  8 Te 3.32-3.33
Sn: 0.0000 0.0000 0.0000  6 Te 3.06
Sn: 0.0000 0.0000 0.5000  6 Te 3.06
Sn: 0.0000 0.5000 0.0000  6 Te 3.06
Sn: 0.0000 0.5000 0.5000  6 Te 3.06
Sn: 0.1250 0.7500 0.8750  4 Te 2.88
Sn: 0.1250 0.8750 0.2500  4 Te 2.88
Sn: 0.2500 0.1250 0.8750  4 Te 2.88
Sn: 0.2500 0.6250 0.3750  4 Te 2.88
Sn: 0.3750 0.2500 0.6250  4 Te 2.88
Sn: 0.3750 0.6250 0.7500  4 Te 2.88
Sn: 0.5000 0.0000 0.0000  6 Te 3.06
Sn: 0.5000 0.0000 0.5000  6 Te 3.06
Sn: 0.5000 0.5000 0.0000  6 Te 3.06
Sn: 0.5000 0.5000 0.5000  6 Te 3.06
Sn: 0.6250 0.3750 0.2500  4 Te 2.88
Sn: 0.6250 0.7500 0.3750  4 Te 2.88
Sn: 0.7500 0.3750 0.6250  4 Te 2.88
Sn: 0.7500 0.8750 0.1250  4 Te 2.88
Sn: 0.8750 0.1250 0.7500  4 Te 2.88
Sn: 0.8750 0.2500 0.1250  4 Te 2.88
Te: 0.0517 0.2233 0.1378  2 Sn 2.88-3.06
Te: 0.0517 0.3284 0.9139  2 Sn 2.88-3.06
Te: 0.0861 0.6378 0.4145  2 Sn 2.88-3.06
Te: 0.0855 0.7233 0.6716  2 Sn 2.88-3.06
Te: 0.0855 0.8622 0.4139  2 Sn 2.88-3.06
Te: 0.0861 0.9483 0.6716  2 Sn 2.88-3.06
Te: 0.1378 0.0517 0.2233  2 Sn 2.88-3.06
Te: 0.1378 0.5861 0.9145  2 Sn 2.88-3.06
Te: 0.1716 0.2233 0.5855  2 Sn 2.88-3.06
Te: 0.1716 0.4483 0.5861  2 Sn 2.88-3.06
Te: 0.2233 0.1378 0.0517  2 Sn 2.88-3.06
Te: 0.2233 0.5855 0.1716  2 Sn 2.88-3.06
Te: 0.2767 0.3284 0.9145  2 Sn 2.88-3.06
Te: 0.2767 0.4483 0.3622  2 Sn 2.88-3.06
Te: 0.3284 0.9139 0.0517  2 Sn 2.88-3.06
Te: 0.3284 0.9145 0.2767  2 Sn 2.88-3.06
Te: 0.3622 0.2767 0.4483  2 Sn 2.88-3.06
Te: 0.3622 0.5855 0.9139  2 Sn 2.88-3.06
Te: 0.4145 0.0861 0.6378  2 Sn 2.88-3.06
Te: 0.4139 0.0855 0.8622  2 Sn 2.88-3.06
Te: 0.4139 0.8284 0.5517  2 Sn 2.88-3.06
Te: 0.4145 0.8284 0.7767  2 Sn 2.88-3.06
Te: 0.4483 0.3622 0.2767  2 Sn 2.88-3.06
Te: 0.4483 0.5861 0.1716  2 Sn 2.88-3.06
Te: 0.5517 0.4139 0.8284  2 Sn 2.88-3.06
Te: 0.5517 0.6378 0.7233  2 Sn 2.88-3.06
Te: 0.5855 0.1716 0.2233  2 Sn 2.88-3.06
Te: 0.5861 0.1716 0.4483  2 Sn 2.88-3.06
Te: 0.5861 0.9145 0.1378  2 Sn 2.88-3.06
Te: 0.5855 0.9139 0.3622  2 Sn 2.88-3.06
Te: 0.6378 0.4145 0.0861  2 Sn 2.88-3.06
Te: 0.6378 0.7233 0.5517  2 Sn 2.88-3.06
Te: 0.6716 0.0855 0.7233  2 Sn 2.88-3.06
Te: 0.6716 0.0861 0.9483  2 Sn 2.88-3.06
Te: 0.7233 0.5517 0.6378  2 Sn 2.88-3.06
Te: 0.7233 0.6716 0.0855  2 Sn 2.88-3.06
Te: 0.7767 0.4145 0.8284  2 Sn 2.88-3.06
Te: 0.7767 0.8622 0.9483  2 Sn 2.88-3.06
Te: 0.8284 0.5517 0.4139  2 Sn 2.88-3.06
Te: 0.8284 0.7767 0.4145  2 Sn 2.88-3.06
Te: 0.8622 0.4139 0.0855  2 Sn 2.88-3.06
Te: 0.8622 0.9483 0.7767  2 Sn 2.88-3.06
Te: 0.9139 0.0517 0.3284  2 Sn 2.88-3.06
Te: 0.9145 0.1378 0.5861  2 Sn 2.88-3.06
Te: 0.9145 0.2767 0.3284  2 Sn 2.88-3.06
Te: 0.9139 0.3622 0.5855  2 Sn 2.88-3.06
Te: 0.9483 0.6716 0.0861  2 Sn 2.88-3.06
Te: 0.9483 0.7767 0.8622  2 Sn 2.88-3.06

=====

Entry 5:
Compound: Pu2SnTe
Source: Alexandria
Functional: PBE
Structure: optimized geometry

Properties
Space group: P4/mmm (123)
Polymorph energy (0 for the lowest one): 0 meV/atom

a b c (Å): 3.6010 3.6010 8.2926
angles (deg): 90.00 90.00 90.00
Closest atoms and distances in Å follow each position.
Sites, in units of the cell vectors:
Pu: 0.0000 0.0000 0.2398  4 Te 3.23, 4 Sn 3.34, 4 Pu 3.60
Pu: 0.0000 0.0000 0.7602  4 Te 3.23, 4 Sn 3.34, 4 Pu 3.60
Sn: 0.5000 0.5000 0.5000  8 Pu 3.34, 4 Sn 3.60
Te: 0.5000 0.5000 0.0000  8 Pu 3.23, 4 Te 3.60

=====

Entry 6:
Compound: PuSnTe3
Source: Alexandria
Functional: PBE
Structure: optimized geometry

Properties
Space group: C2/m (12)

a b c (Å): 9.4769 9.4769 8.2762
angles (deg): 103.44 103.44 28.05
Closest atoms and distances in Å follow each position.
Sites, in units of the cell vectors:
Pu: 0.2237 0.2237 0.2471  7 Te 3.11-3.31
Pu: 0.7763 0.7763 0.7529  7 Te 3.11-3.31
Sn: 0.4553 0.4553 0.3043  3 Te 2.91-3.09
Sn: 0.5447 0.5447 0.6957  3 Te 2.91-3.09
Te: 0.0387 0.0387 0.1749  1 Te 2.90, 2 Sn 3.09
Te: 0.1668 0.1668 0.5759  3 Pu 3.14-3.17, 2 Sn 3.52
Te: 0.3346 0.3346 0.0042  1 Sn 2.91, 3 Pu 3.11-3.19
Te: 0.6654 0.6654 0.9958  1 Sn 2.91, 3 Pu 3.11-3.19
Te: 0.8332 0.8332 0.4241  3 Pu 3.14-3.17, 2 Sn 3.52
Te: 0.9613 0.9613 0.8251  1 Te 2.90, 2 Sn 3.09

=====

Entry 7:
Compound: PuSnTe
Source: Alexandria
Functional: PBE
Structure: optimized geometry

Properties
Space group: I4/mmm (139)

a b c (Å): 9.3174 9.3174 9.3174
angles (deg): 152.98 152.98 38.59
Closest atoms and distances in Å follow each position.
Sites, in units of the cell vectors:
Pu: 0.1438 0.1438 0.0000  5 Te 3.13-3.16, 4 Sn 3.34
Pu: 0.8562 0.8562 0.0000  5 Te 3.13-3.16, 4 Sn 3.34
Sn: 0.0000 0.5000 0.5000  4 Sn 3.08, 4 Pu 3.34
Sn: 0.5000 0.0000 0.5000  4 Sn 3.08, 4 Pu 3.34
Te: 0.3233 0.3233 0.0000  5 Pu 3.13-3.16
Te: 0.6767 0.6767 0.0000  5 Pu 3.13-3.16

=====

Entry 8:
Compound: Pu2SnTe4
Source: Alexandria
Functional: PBE
Structure: optimized geometry

Properties
Space group: C2/m (12)
Polymorph energy (0 for the lowest one): 0 meV/atom

a b c (Å): 8.3679 8.3679 7.7576
angles (deg): 117.14 117.14 31.16
Closest atoms and distances in Å follow each position.
Sites, in units of the cell vectors:
Pu: 0.2482 0.2482 0.2393  6 Te 3.09-3.16
Pu: 0.7518 0.7518 0.7607  6 Te 3.09-3.16
Sn: 0.0000 0.0000 0.0000  6 Te 3.19-3.21, 2 Pu 3.52
Te: 0.1265 0.1265 0.7852  3 Pu 3.09-3.12, 1 Sn 3.19
Te: 0.3719 0.3719 0.6948  3 Pu 3.13-3.16, 2 Sn 3.21
Te: 0.6281 0.6281 0.3052  3 Pu 3.13-3.16, 2 Sn 3.21
Te: 0.8735 0.8735 0.2148  3 Pu 3.09-3.12, 1 Sn 3.19

=====

The records above yield uncorrected formation energy values of -0.882; -0.286; -0.378; -0.422; -0.624; -0.574; -0.671; -0.742 eV per atom, respectively.